Below is a relaxed GdLuU crystal, with properties calculated at the PBE level.

Structure (POSCAR):
```
GdLuU
1.0
0.000 3.689 3.689
3.689 0.000 3.689
3.689 3.689 0.000
Lu Gd U
1 1 1
Direct
0.500 0.500 0.500
0.000 0.000 0.000
0.250 0.250 0.250
```

As for the space group: F-43m, No. 216. The energy relative to the lowest polymorph listed for this composition comes out at 0 meV per atom. As for the calculated density: 9.43 g/cm3.


Below is a relaxed Gd2Y3Lu3 crystal, with properties calculated at the PBE level.

Structure (POSCAR):
```
Gd2Y3Lu3
1.0
5.601 0.000 0.000
0.000 3.602 6.244
0.000 -3.602 6.244
Gd Lu Y
2 3 3
Direct
0.000 0.333 0.333
0.500 0.666 0.666
0.000 0.834 0.332
0.500 0.166 0.166
0.000 0.332 0.834
0.000 0.834 0.834
0.500 0.668 0.166
0.500 0.166 0.668
```

The value obtained for the uncorrected energy is -5.28 eV per atom. As for the space group: Amm2, No. 38. As for the calculated density: 7.29 g/cm3.


Below is a relaxed Gd2Y3Lu3 crystal, with properties calculated at the PBE level.

Structure (POSCAR):
```
Gd2Y3Lu3
1.0
-5.466 -2.961 3.624
6.690 -0.402 2.618
-0.789 4.833 2.758
Lu Gd Y
3 2 3
Direct
0.166 0.332 0.000
0.668 0.834 0.000
0.166 0.834 0.000
0.333 0.667 0.500
0.667 0.333 0.000
0.834 0.668 0.500
0.834 0.166 0.500
0.332 0.166 0.500
```

The value obtained for the uncorrected energy is -5.28 eV per atom. As for the space group: P-6m2, No. 187. As for the calculated density: 7.29 g/cm3.


Below is a relaxed GdMg2 crystal, with properties calculated at the PBE level.

Structure (POSCAR):
```
GdMg2
1.0
5.962 0.000 0.000
0.000 9.747 0.000
0.000 0.000 5.441
Mg Gd
8 4
Direct
0.510 0.835 0.000
0.010 0.665 0.000
0.823 0.165 0.500
0.010 0.335 0.000
0.823 0.835 0.500
0.510 0.165 0.000
0.323 0.665 0.500
0.323 0.335 0.500
0.995 0.000 0.000
0.838 0.500 0.500
0.338 0.000 0.500
0.495 0.500 0.000
```

The value obtained for the uncorrected energy is -2.57 eV per atom. As for the space group: Cmcm, No. 63. As for the calculated density: 4.32 g/cm3.


Below is a relaxed GdMg crystal, with properties calculated at the PBE level.

Structure (POSCAR):
```
GdMg
1.0
5.975 0.000 0.000
0.000 6.889 0.000
0.000 0.000 5.487
Gd Mg
4 4
Direct
0.989 0.000 0.000
0.345 0.000 0.500
0.832 0.748 0.500
0.832 0.252 0.500
0.499 0.257 0.000
0.499 0.743 0.000
0.010 0.500 0.000
0.327 0.500 0.500
```

The value obtained for the uncorrected energy is -3.06 eV per atom. As for the space group: Pmm2, No. 25. As for the calculated density: 5.34 g/cm3.


Below is a relaxed GdMg crystal, with properties calculated at the PBE level.

Structure (POSCAR):
```
GdMg
1.0
5.385 0.000 0.000
0.000 3.804 0.000
0.000 0.000 5.384
Gd Mg
2 2
Direct
0.911 0.500 0.500
0.422 0.500 0.000
0.924 0.000 0.000
0.409 0.000 0.500
```

The value obtained for the uncorrected energy is -3.19 eV per atom. As for the space group: Pmma, No. 51. As for the calculated density: 5.47 g/cm3.


Below is a relaxed GdMg crystal, with properties calculated at the PBE level.

Structure (POSCAR):
```
GdMg
1.0
6.189 0.000 0.000
0.000 6.718 0.000
0.000 0.000 5.361
Gd Mg
4 4
Direct
0.293 0.006 0.500
0.793 0.244 0.500
0.540 0.744 0.000
0.040 0.506 0.000
0.997 0.001 0.000
0.837 0.749 0.500
0.497 0.249 0.000
0.337 0.501 0.500
```

The value obtained for the uncorrected energy is -3.11 eV per atom. As for the space group: Pnma, No. 62. As for the calculated density: 5.41 g/cm3.


Below is a relaxed GdMg2 crystal, with properties calculated at the PBE level.

Structure (POSCAR):
```
GdMg2
1.0
3.345 0.000 0.000
-1.673 2.897 0.000
0.000 0.000 16.373
Mg Gd
4 2
Direct
0.000 0.000 0.328
0.667 0.333 0.172
0.000 0.000 0.015
0.667 0.333 0.485
0.667 0.333 0.841
0.000 0.000 0.659
```

The value obtained for the uncorrected energy is -2.55 eV per atom. As for the space group: P-3m1, No. 164. As for the calculated density: 4.31 g/cm3.


Below is a relaxed GdMg crystal, with properties calculated at the PBE level.

Structure (POSCAR):
```
GdMg
1.0
-6.173 15.507 6.555
-1.463 -3.110 5.979
4.948 1.195 1.832
Mg Gd
12 12
Direct
0.111 0.011 0.500
0.115 0.490 0.500
0.329 0.490 0.000
0.334 0.011 0.000
0.829 0.260 0.000
0.669 0.501 0.000
0.275 0.249 0.500
0.611 0.739 0.500
0.834 0.739 0.000
0.169 0.249 0.000
0.775 0.501 0.500
0.615 0.260 0.500
0.494 0.743 0.000
0.939 0.256 0.500
0.781 0.996 0.500
0.439 0.494 0.500
0.994 0.007 0.000
0.281 0.754 0.500
0.951 0.743 0.500
0.663 0.996 0.000
0.005 0.494 0.000
0.163 0.754 0.000
0.451 0.007 0.500
0.505 0.256 0.000
```

The value obtained for the uncorrected energy is -3.07 eV per atom. As for the space group: Pbcm, No. 57. As for the calculated density: 5.41 g/cm3.


Below is a relaxed GdMg crystal, with properties calculated at the PBE level.

Structure (POSCAR):
```
GdMg
1.0
-3.359 -2.921 0.042
-3.750 0.953 2.201
-3.740 0.876 -2.250
Gd Mg
1 1
Direct
0.000 0.000 0.000
0.500 0.500 0.500
```

The value obtained for the uncorrected energy is -2.72 eV per atom. As for the space group: Fm-3m, No. 225. As for the calculated density: 4.83 g/cm3.


Below is a relaxed GdMg2 crystal, with properties calculated at the PBE level.

Structure (POSCAR):
```
GdMg2
1.0
0.000 4.281 4.281
4.281 0.000 4.281
4.281 4.281 0.000
Mg Gd
4 2
Direct
0.625 0.625 0.625
0.625 0.625 0.125
0.625 0.125 0.625
0.125 0.625 0.625
0.250 0.250 0.250
0.000 0.000 0.000
```

The value obtained for the uncorrected energy is -2.66 eV per atom. As for the space group: Fd-3m, No. 227. As for the calculated density: 4.36 g/cm3.


Below is a relaxed GdMg crystal, with properties calculated at the PBE level.

Structure (POSCAR):
```
GdMg
1.0
2.491 -4.315 0.000
2.491 4.315 0.000
0.000 0.000 8.148
Mg Gd
2 2
Direct
0.000 0.000 0.375
0.333 0.667 0.875
0.333 0.667 0.500
0.000 0.000 0.000
```

The value obtained for the uncorrected energy is -1.87 eV per atom. As for the space group: P6_3mc, No. 186. As for the calculated density: 3.44 g/cm3.


Below is a relaxed GdMg crystal, with properties calculated at the PBE level.

Structure (POSCAR):
```
GdMg
1.0
-2.227 2.216 -2.153
-3.069 -1.894 1.224
-0.358 2.450 2.893
Gd Mg
1 1
Direct
0.500 0.500 0.500
0.000 0.000 0.000
```

The value obtained for the uncorrected energy is -3.19 eV per atom. As for the space group: Pm-3m, No. 221. As for the calculated density: 5.46 g/cm3.


Below is a relaxed GdMg crystal, with properties calculated at the PBE level.

Structure (POSCAR):
```
GdMg
1.0
2.571 4.452 0.000
-7.820 7.483 0.000
0.000 0.000 5.144
Mg Gd
5 5
Direct
0.184 0.800 0.500
0.273 0.619 0.000
0.092 0.981 0.000
0.594 0.980 0.500
0.774 0.620 0.500
0.683 0.800 0.000
0.373 0.422 0.500
0.994 0.178 0.500
0.489 0.188 0.000
0.877 0.412 0.000
```

The value obtained for the uncorrected energy is -3.15 eV per atom. As for the space group: Amm2, No. 38. As for the calculated density: 5.42 g/cm3.


Below is a relaxed GdMg crystal, with properties calculated at the PBE level.

Structure (POSCAR):
```
GdMg
1.0
-1.688 6.771 5.316
-5.406 -4.516 1.587
3.021 -2.265 3.845
Mg Gd
6 6
Direct
0.991 0.994 0.000
0.299 0.827 0.000
0.232 0.062 0.500
0.990 0.503 0.000
0.233 0.553 0.500
0.923 0.228 0.500
0.305 0.323 0.000
0.570 0.393 0.500
0.652 0.663 0.000
0.548 0.886 0.500
0.674 0.169 0.000
0.917 0.732 0.500
```

The value obtained for the uncorrected energy is -3.13 eV per atom. As for the space group: P2_1/m, No. 11. As for the calculated density: 5.41 g/cm3.


Below is a relaxed GdMg crystal, with properties calculated at the PBE level.

Structure (POSCAR):
```
GdMg
1.0
11.573 0.000 0.000
0.000 7.098 0.000
0.000 0.000 5.416
Mg Gd
8 8
Direct
0.010 0.000 0.000
0.194 0.500 0.500
0.247 0.757 0.000
0.420 0.257 0.500
0.472 0.000 0.000
0.657 0.500 0.500
0.420 0.743 0.500
0.247 0.243 0.000
0.742 0.743 0.000
0.924 0.757 0.500
0.742 0.257 0.000
0.479 0.500 0.000
0.021 0.500 0.000
0.646 0.000 0.500
0.924 0.243 0.500
0.187 0.000 0.500
```

The value obtained for the uncorrected energy is -3.13 eV per atom. As for the space group: Pmmn, No. 59. As for the calculated density: 5.42 g/cm3.


Below is a relaxed GdMg crystal, with properties calculated at the PBE level.

Structure (POSCAR):
```
GdMg
1.0
-4.157 -3.998 -2.179
0.901 -5.473 8.324
-3.971 2.867 2.315
Gd Mg
6 6
Direct
0.284 0.651 0.500
0.522 0.174 0.000
0.784 0.516 0.500
0.858 0.181 0.500
0.358 0.985 0.500
0.022 0.993 0.000
0.022 0.352 0.000
0.522 0.815 0.000
0.982 0.667 0.000
0.482 0.500 0.000
0.832 0.839 0.500
0.332 0.328 0.500
```

The value obtained for the uncorrected energy is -3.09 eV per atom. As for the space group: Pmc2_1, No. 26. As for the calculated density: 5.42 g/cm3.


Below is a relaxed GdMg crystal, with properties calculated at the PBE level.

Structure (POSCAR):
```
GdMg
1.0
5.384 0.000 0.000
0.000 3.816 0.000
0.000 0.000 5.384
Mg Gd
2 2
Direct
0.250 0.500 0.750
0.750 0.500 0.250
0.750 0.000 0.750
0.250 0.000 0.250
```

The value obtained for the uncorrected energy is -3.19 eV per atom. As for the space group: Pm-3m, No. 221. As for the calculated density: 5.45 g/cm3.


Below is a relaxed GdMg crystal, with properties calculated at the PBE level.

Structure (POSCAR):
```
GdMg
1.0
-6.009 -0.249 1.107
-0.691 -11.867 -6.422
0.965 -2.578 4.659
Gd Mg
8 8
Direct
0.815 0.376 0.500
0.815 0.124 0.500
0.518 0.876 0.000
0.331 0.005 0.500
0.003 0.994 0.000
0.331 0.495 0.500
0.003 0.506 0.000
0.518 0.624 0.000
0.493 0.130 0.000
0.016 0.750 0.000
0.493 0.370 0.000
0.023 0.250 0.000
0.840 0.630 0.500
0.310 0.750 0.500
0.840 0.870 0.500
0.317 0.250 0.500
```

The value obtained for the uncorrected energy is -3.07 eV per atom. As for the space group: Pmmn, No. 59. As for the calculated density: 5.39 g/cm3.


Below is a relaxed Gd5Mg crystal, with properties calculated at the PBE level.

Structure (POSCAR):
```
Gd5Mg
1.0
3.583 0.000 0.000
-1.792 3.103 0.000
0.000 0.000 17.027
Gd Mg
5 1
Direct
0.667 0.333 0.504
0.000 0.000 0.672
0.000 0.000 0.333
0.667 0.333 0.163
0.000 0.000 0.994
0.667 0.333 0.833
```

As for the space group: P-6m2, No. 187. The energy relative to the lowest polymorph listed for this composition comes out at 0 meV per atom. As for the calculated density: 7.11 g/cm3.


Below is a relaxed GdMg crystal, with properties calculated at the PBE level.

Structure (POSCAR):
```
GdMg
1.0
3.696 -0.251 3.353
0.554 3.635 3.384
-1.043 -0.881 4.807
Mg Gd
1 1
Direct
0.250 0.250 0.250
0.000 0.000 0.000
```

The value obtained for the uncorrected energy is -1.87 eV per atom. As for the space group: F-43m, No. 216. As for the calculated density: 3.42 g/cm3.


Below is a relaxed GdMg crystal, with properties calculated at the PBE level.

Structure (POSCAR):
```
GdMg
1.0
-2.471 -1.569 -5.155
-3.034 -8.513 0.638
-4.865 1.866 1.764
Mg Gd
5 5
Direct
0.991 0.005 0.000
0.396 0.195 0.000
0.073 0.201 0.500
0.859 0.600 0.500
0.674 0.999 0.500
0.252 0.811 0.500
0.197 0.600 0.000
0.611 0.805 0.000
0.816 0.395 0.000
0.463 0.389 0.500
```

The value obtained for the uncorrected energy is -3.10 eV per atom. As for the space group: Amm2, No. 38. As for the calculated density: 5.40 g/cm3.


Below is a relaxed GdMg crystal, with properties calculated at the PBE level.

Structure (POSCAR):
```
GdMg
1.0
2.956 -1.707 0.000
0.000 3.414 0.000
0.000 0.000 5.642
Gd Mg
1 1
Direct
0.000 0.000 0.000
0.667 0.333 0.500
```

The value obtained for the uncorrected energy is -3.03 eV per atom. As for the space group: P-6m2, No. 187. As for the calculated density: 5.29 g/cm3.


Below is a relaxed Gd5Mg crystal, with properties calculated at the PBE level.

Structure (POSCAR):
```
Gd5Mg
1.0
-5.939 2.336 -1.220
0.800 -6.310 1.325
-0.718 1.076 5.558
Gd Mg
5 1
Direct
0.500 0.500 0.500
0.500 0.000 0.500
0.000 0.500 0.500
0.667 0.333 0.000
0.333 0.667 0.000
0.000 0.000 0.000
```

As for the space group: P6/mmm, No. 191. The energy relative to the lowest polymorph listed for this composition comes out at 398 meV per atom. As for the calculated density: 6.45 g/cm3.


Below is a relaxed GdMg crystal, with properties calculated at the PBE level.

Structure (POSCAR):
```
GdMg
1.0
-3.898 -4.387 -1.482
4.023 -1.846 -5.117
2.645 -3.477 3.334
Gd Mg
4 4
Direct
0.340 0.485 0.500
0.493 0.765 0.000
0.840 0.765 0.500
0.993 0.485 0.000
0.008 0.995 0.000
0.325 0.995 0.500
0.508 0.255 0.000
0.825 0.255 0.500
```

The value obtained for the uncorrected energy is -3.10 eV per atom. As for the space group: Pbcm, No. 57. As for the calculated density: 5.36 g/cm3.